Entry from Alexandria: a relaxed structure of CrSbSN2 (GGA-PBE).

Results
Magnetic moment in μB/cell: 1.3
Energy relative to the elements, uncorrected in eV per atom: 0.52
Polymorph energy (0 for the lowest one) in kcal/mol of atoms: 0.00
D(E_F) in states/eV per atom: 0.562

Lattice parameters (Å, degrees): 3.806 3.806 4.849 90.00 90.00 90.00
Site moments in Bohr magnetons follow the coordinates.
Fractional coordinates of all 5 atoms:
Sb  0.500  0.500  0.500  0.14
S  0.000  0.000  0.500  -0.03
N  0.000  0.500  0.000  -0.21
N  0.500  0.000  0.000  -0.21
Cr  0.000  0.000  0.000  1.46



Entry from Alexandria: a relaxed structure of MnNbSiC2 (GGA-PBE).

Results
Magnetic moment in μB/cell: 0.0
Energy relative to the elements, uncorrected in eV per atom: 1.94
D(E_F) in states/eV per atom: 1.049

Lattice parameters (Å, degrees): 3.659 4.986 3.659 90.00 90.00 90.00
Site moments in Bohr magnetons follow the coordinates.
Fractional coordinates of all 5 atoms:
C  0.000  0.000  0.500  -0.02
C  0.500  0.000  0.000  -0.02
Nb  0.000  0.500  0.000  0.10
Mn  0.500  0.500  0.500  -0.12
Si  0.000  0.000  0.000  0.01



Entry from Alexandria: a relaxed structure of SrTlCo (GGA-PBE).

Results
Magnetic moment in μB/cell: 1.2
Total energy in eV/atom: -3.54
D(E_F) in states/eV per atom: 1.359

Lattice parameters (Å, degrees): 4.603 4.603 4.344 90.00 90.00 120.00
Site moments in Bohr magnetons follow the coordinates.
Fractional coordinates of all 3 atoms:
Co  0.000  0.000  0.833  1.31
Sr  0.667  0.333  0.333  -0.03
Tl  0.333  0.667  0.833  -0.04



Entry from Alexandria: a relaxed structure of NdHfCu2 (GGA-PBE).

Results
Magnetic moment in μB/cell: 0.7
Polymorph energy (0 for the lowest one) in kcal/mol of atoms: 2.38
D(E_F) in states/eV per atom: 1.127

Lattice parameters (Å, degrees): 3.329 4.861 4.861 90.00 90.00 90.00
Site moments in Bohr magnetons follow the coordinates.
Fractional coordinates of all 4 atoms:
Nd  0.500  0.000  0.000  0.12
Hf  0.500  0.500  0.500  0.25
Cu  0.000  0.000  0.500  0.04
Cu  0.000  0.500  0.000  0.04



Entry from Alexandria: a relaxed structure of SrCaW (GGA-PBE).

Results
Magnetic moment in μB/cell: 0.0
Polymorph energy (0 for the lowest one) in kcal/mol of atoms: 2.47
D(E_F) in states/eV per atom: 1.055

Lattice parameters (Å, degrees): 5.537 5.537 2.878 90.00 90.00 120.00
Fractional coordinates of all 3 atoms:
Sr  0.667  0.333  0.167
Ca  0.000  0.000  0.166
W  0.333  0.667  0.667



Entry from Alexandria: a relaxed structure of Na6SbO5 (GGA-PBE).

Results
Magnetic moment in μB/cell: 0.0
Energy relative to the elements, uncorrected in eV per atom: -1.38
D(E_F) in states/eV per atom: 0.205

Lattice parameters (Å, degrees): 6.129 6.129 10.980 90.00 90.00 124.19
Fractional coordinates of all 24 atoms:
Na  0.164  0.569  0.250
Na  0.431  0.836  0.750
Na  0.775  0.225  0.000
Na  0.775  0.225  0.500
Na  0.225  0.775  0.500
Na  0.225  0.775  0.000
Na  0.836  0.431  0.750
Na  0.569  0.164  0.250
Na  0.696  0.696  0.942
Na  0.696  0.696  0.558
Na  0.304  0.304  0.058
Na  0.304  0.304  0.442
Sb  0.220  0.220  0.750
Sb  0.780  0.780  0.250
O  0.159  0.430  0.617
O  0.570  0.841  0.117
O  0.570  0.841  0.383
O  0.159  0.430  0.883
O  0.430  0.159  0.617
O  0.841  0.570  0.117
O  0.430  0.159  0.883
O  0.841  0.570  0.383
O  0.871  0.871  0.750
O  0.129  0.129  0.250



Entry from Alexandria: a relaxed structure of GdThP2 (GGA-PBE).

Results
Magnetic moment in μB/cell: 6.9
Total energy in eV/atom: -9.67
D(E_F) in states/eV per atom: 0.495

Lattice parameters (Å, degrees): 4.106 4.106 7.086 73.16 73.16 60.00
Site moments in Bohr magnetons follow the coordinates.
Fractional coordinates of all 4 atoms:
P  0.249  0.249  0.254  -0.02
P  0.751  0.751  0.746  -0.02
Gd  0.500  0.500  0.500  6.95
Th  0.000  0.000  0.000  -0.02



Entry from Alexandria: a relaxed structure of Sr2MgGaP (GGA-PBE).

Results
Magnetic moment in μB/cell: 0.0
Total energy in eV/atom: -2.47
D(E_F) in states/eV per atom: 1.418

Lattice parameters (Å, degrees): 6.326 4.553 6.326 90.00 90.00 90.00
Fractional coordinates of all 5 atoms:
Sr  0.000  0.000  0.500
Sr  0.500  0.000  0.000
Mg  0.000  0.000  0.000
Ga  0.500  0.500  0.500
P  0.000  0.500  0.000